(one)
Here is a geometry-optimized LiPa2Os structure from Alexandria via LeMat-Bulk. Energies are from PBE-GGA.

Geometry as POSCAR:
```
LiPa2Os
1.0
-3.489 1.057 -1.018
-1.672 -3.998 1.580
-0.634 1.906 4.152
Pa Os Li
2 1 1
direct
0.000 0.000 0.500 Pa
0.000 0.500 0.000 Pa
0.500 0.500 0.500 Os
0.500 0.000 0.000 Li
```



(two)
Here is a geometry-optimized LiPa2Os structure from Alexandria via LeMat-Bulk. Energies are from PBE-GGA.

Geometry as POSCAR:
```
LiPa2Os
1.0
3.051 0.000 0.000
1.526 2.642 0.000
1.526 0.881 11.036
Pa Os Li
2 1 1
direct
0.096 0.096 0.713 Pa
0.904 0.904 0.287 Pa
0.500 0.500 0.500 Os
0.000 0.000 0.000 Li
```



(three)
Here is a geometry-optimized LiPa2Os structure from Alexandria via LeMat-Bulk. Energies are from PBE-GGA.

Geometry as POSCAR:
```
LiPa2Os
1.0
-2.873 3.033 2.510
-4.816 -0.743 0.118
-2.133 -1.509 4.114
Pa Os Li
2 1 1
direct
0.250 0.250 0.250 Pa
0.750 0.750 0.750 Pa
0.000 0.000 0.000 Os
0.500 0.500 0.500 Li
```



Of the structures shown above, (two) is the least stable.